(1)
## ZnIr2W2 (GGA-PBE)

Data for a relaxed ZnIr2W2 crystal.

a b c (Å): 7.662 7.662 2.788
angles (deg): 90.00 90.00 90.00
Element x y z (fractional)
Zn  0.000  0.000  0.000
Zn  0.500  0.500  0.000
Ir  0.372  0.872  0.000
Ir  0.872  0.628  0.000
Ir  0.628  0.128  0.000
Ir  0.128  0.372  0.000
W  0.166  0.666  0.500
W  0.666  0.834  0.500
W  0.834  0.334  0.500
W  0.334  0.166  0.500

Values from the calculation:
Energy ... -8.946 eV per atom
Formation energy from the elements ... 3.3 kJ per mole of atoms

=====

(2)
## ZnIr3W2 (GGA-PBE)

Data for a relaxed ZnIr3W2 crystal.

a b c (Å): 2.823 2.823 11.201
angles (deg): 90.00 90.00 90.00
Element x y z (fractional)
Zn  0.500  0.500  0.500
Ir  0.000  0.000  0.000
Ir  0.000  0.000  0.663
Ir  0.000  0.000  0.337
W  0.500  0.500  0.826
W  0.500  0.500  0.174

Values from the calculation:
Energy ... -9.259 eV per atom
Formation energy from the elements ... -28.8 kJ per mole of atoms

=====

(3)
## ZnIr2W (GGA-PBE)

Data for a relaxed ZnIr2W crystal.

a b c (Å): 4.823 4.823 4.708
angles (deg): 80.82 80.82 33.59
Element x y z (fractional)
Ir  0.007  0.007  0.031
Ir  0.744  0.744  0.720
W  0.492  0.492  0.528
Zn  0.257  0.257  0.221

Values from the calculation:
Energy ... -8.102 eV per atom
Formation energy from the elements ... -11.1 kJ per mole of atoms

=====

(4)
## ZnIr2W (GGA-PBE)

Data for a relaxed ZnIr2W crystal.

a b c (Å): 4.683 4.683 2.804
angles (deg): 90.00 90.00 104.91
Element x y z (fractional)
Ir  0.000  0.000  0.000
Ir  0.500  0.500  0.000
W  0.500  0.000  0.500
Zn  0.000  0.500  0.500

Values from the calculation:
Energy ... -8.092 eV per atom
Formation energy from the elements ... -10.1 kJ per mole of atoms

=====

(5)
## Zn2Ir2W (GGA-PBE)

Data for a relaxed Zn2Ir2W crystal.

a b c (Å): 7.118 7.118 2.963
angles (deg): 90.00 90.00 90.00
Element x y z (fractional)
Zn  0.161  0.661  0.500
Zn  0.661  0.839  0.500
Zn  0.839  0.339  0.500
Zn  0.339  0.161  0.500
Ir  0.362  0.862  0.000
Ir  0.862  0.638  0.000
Ir  0.638  0.138  0.000
Ir  0.138  0.362  0.000
W  0.000  0.000  0.000
W  0.500  0.500  0.000

Values from the calculation:
Energy ... -6.435 eV per atom
Formation energy from the elements ... 20.2 kJ per mole of atoms

=====

(6)
## ZnIrW (GGA-PBE)

Data for a relaxed ZnIrW crystal.

a b c (Å): 5.841 5.841 5.841
angles (deg): 151.77 151.77 40.35
Element x y z (fractional)
Ir  0.999  0.999  0.000
W  0.338  0.338  0.000
Zn  0.663  0.663  0.000

Values from the calculation:
Energy ... -7.786 eV per atom
Formation energy from the elements ... -8.7 kJ per mole of atoms

=====

(7)
## ZnIr2W (GGA-PBE)

Data for a relaxed ZnIr2W crystal.

a b c (Å): 2.762 2.762 7.758
angles (deg): 90.00 90.00 90.00
Element x y z (fractional)
Ir  0.000  0.000  0.995
Ir  0.500  0.500  0.247
W  0.000  0.000  0.498
Zn  0.500  0.500  0.760

Values from the calculation:
Energy ... -7.945 eV per atom
Formation energy from the elements ... 4.0 kJ per mole of atoms

=====

(8)
## ZnIr3W (GGA-PBE)

Data for a relaxed ZnIr3W crystal.

a b c (Å): 4.432 4.432 4.432
angles (deg): 90.00 90.00 90.00
Site moments in Bohr magnetons follow the coordinates.
Element x y z (fractional)
Zn  0.000  0.000  0.000  -0.01
Ir  0.000  0.500  0.000  -0.12
Ir  0.000  0.000  0.500  -0.10
Ir  0.500  0.000  0.000  -0.11
W  0.500  0.500  0.500  1.14

Values from the calculation:
Energy ... -6.529 eV per atom
Formation energy from the elements ... 157.6 kJ per mole of atoms